# La2Sc | the Alexandria database | PBE | relaxed
data_La2Sc
_cell_length_a 12.261
_cell_length_b 3.696
_cell_length_c 9.256
_cell_angle_alpha 90.00
_cell_angle_beta 111.50
_cell_angle_gamma 90.00
_space_group_name_H-M_alt 'P 1'
_space_group_IT_number 1
loop_
_space_group_symop_operation_xyz
'x,y,z'
loop_
_atom_site_label
_atom_site_fract_x
_atom_site_fract_y
_atom_site_fract_z
_atom_site_occupancy
La1 0.001 0.000 0.210 1
La2 0.154 0.500 0.578 1
La3 0.346 0.000 0.422 1
La4 0.499 0.500 0.790 1
La5 0.501 0.500 0.210 1
La6 0.654 0.000 0.578 1
La7 0.846 0.500 0.422 1
La8 0.999 0.000 0.790 1
Sc1 0.195 0.500 0.095 1
Sc2 0.305 0.000 0.905 1
Sc3 0.695 0.000 0.095 1
Sc4 0.805 0.500 0.905 1
# Offset from the most stable computed form = 0.0047 eV per atom
# SG = C2/m (12)
# E = -5.339 eV/atom
# Energy of formation = 57 meV/atom